[1]
Here is a relaxed NbFe2SbIr crystal from Alexandria. Energies are from PBE.

Values from the calculation:
Calculated total energy in eV/atom: -6.400
Raw formation energy in meV per atom: 1596
V in Å³ per cell: 102.30
Space-group type: P4/mmm

a = 4.440 Å, b = 5.190 Å, c = 4.440 Å
α = 90.00°, β = 90.00°, γ = 90.00°
Each line ends with the local moment (μB).
Fractional coordinates of all 5 atoms:
1 Ir 0.500 0.500 0.500  0.20
2 Sb 0.000 0.500 0.000  0.04
3 Fe 0.000 0.000 0.500  2.08
4 Fe 0.500 0.000 0.000  1.85
5 Nb 0.000 0.000 0.000  -0.58

[2]
Here is a relaxed HoPtAu4 crystal from Alexandria. Energies are from PBE.

Values from the calculation:
Calculated total energy in eV/atom: -4.346
ΔH_f (0 K) in eV/atom: -0.39
V in Å³ per cell: 116.23
Space-group type: F-43m

a = 5.478 Å, b = 5.478 Å, c = 5.478 Å
α = 60.00°, β = 60.00°, γ = 60.00°
Fractional coordinates of all 6 atoms:
1 Ho 0.000 0.000 0.000
2 Au 0.625 0.625 0.126
3 Au 0.126 0.625 0.625
4 Au 0.625 0.625 0.625
5 Au 0.625 0.126 0.625
6 Pt 0.250 0.250 0.250

[3]
Here is a relaxed Pr4PdRh2 crystal from Alexandria. Energies are from PBE.

Values from the calculation:
Calculated total energy in eV/atom: -6.207
ΔH_f (0 K) in eV/atom: -0.63
V in Å³ per cell: 365.16
Space-group type: I-42d

a = 7.796 Å, b = 7.796 Å, c = 7.804 Å
α = 109.17°, β = 109.18°, γ = 110.05°
Fractional coordinates of all 14 atoms:
1 Pr 0.760 0.131 0.748
2 Pr 0.261 0.132 0.751
3 Pr 0.383 0.011 0.251
4 Pr 0.490 0.738 0.871
5 Pr 0.988 0.240 0.371
6 Pr 0.869 0.618 0.630
7 Pr 0.381 0.510 0.248
8 Pr 0.868 0.619 0.130
9 Rh 0.625 0.246 0.121
10 Rh 0.496 0.375 0.621
11 Rh 0.754 0.875 0.379
12 Rh 0.125 0.504 0.879
13 Pd 0.250 0.750 0.500
14 Pd 0.000 0.000 0.000

[4]
Here is a relaxed Be2SbRu crystal from Alexandria. Energies are from PBE.

Values from the calculation:
Calculated total energy in eV/atom: -4.861
Raw formation energy in meV per atom: 351
V in Å³ per cell: 58.51
Space-group type: C2/m

a = 4.466 Å, b = 5.119 Å, c = 3.109 Å
α = 69.27°, β = 96.62°, γ = 118.12°
Fractional coordinates of all 4 atoms:
1 Be 0.000 0.000 0.000
2 Be 0.500 0.000 0.500
3 Sb 0.500 0.500 0.000
4 Ru 0.000 0.500 0.500